# 1
Computed, not measured: a geometry-optimized HoGeHIr structure at the PBE level of DFT.

Lattice parameters (Å, degrees): 4.0947 4.0947 7.1789 90.00 90.00 90.00
Fractional positions:
Ho1 0.0000 0.5000 0.3415
Ge1 0.0000 0.5000 0.8013
H1 0.0000 0.0000 0.5000
Ge2 0.5000 0.0000 0.1987
Ir1 0.0000 0.0000 0.0000
Ir2 0.5000 0.5000 0.0000
H2 0.5000 0.5000 0.5000
Ho2 0.5000 0.0000 0.6585

Properties
VASP energy   -48.953 eV for the cell shown
Space group   No. 129
Size of the total moment   0.00 Bohr magnetons per cell

=====

# 2
Computed, not measured: a geometry-optimized NdHoGeH structure at the PBE level of DFT.

Lattice parameters (Å, degrees): 4.4122 4.4122 8.4570 90.00 90.00 90.00
Fractional positions:
Nd1 0.0000 0.5000 0.8740
Nd2 0.5000 0.0000 0.1260
Ge1 0.5000 0.0000 0.7331
H1 0.5000 0.5000 0.0000
Ge2 0.0000 0.5000 0.2669
H2 0.0000 0.0000 0.0000
Ho1 0.5000 0.5000 0.5000
Ho2 0.0000 0.0000 0.5000

Properties
VASP energy   -39.588 eV for the cell shown
Space group   No. 129
Size of the total moment   0.00 Bohr magnetons per cell

=====

# 3
Computed, not measured: a geometry-optimized HoNiGeH structure at the PBE level of DFT.

Lattice parameters (Å, degrees): 4.1965 4.1965 3.6206 90.00 90.00 120.00
Fractional positions:
Ge1 0.9053 0.8105 0.8098
H1 0.2386 0.4771 0.3101
Ho1 0.5719 0.1438 0.3097
Ni1 0.2386 0.4772 0.8095

Properties
VASP energy   -21.054 eV for the cell shown
Space group   No. 187
Size of the total moment   0.00 Bohr magnetons per cell

=====

# 4
Computed, not measured: a geometry-optimized Ho2Ni5Ge3H2 structure at the PBE level of DFT.

Lattice parameters (Å, degrees): 3.9134 3.9134 10.6683 100.57 100.57 90.00
Fractional positions:
Ge1 0.1566 0.1566 0.3133
H1 0.5794 0.5794 0.1588
Ni1 0.4194 0.9194 0.8387
Ge2 0.8434 0.8434 0.6867
Ni2 0.9194 0.4194 0.8387
H2 0.4206 0.4206 0.8412
Ni3 0.0806 0.5806 0.1613
Ho1 0.3064 0.3064 0.6128
Ni4 0.5806 0.0806 0.1613
Ho2 0.6936 0.6936 0.3872
Ni5 0.5000 0.5000 0.0000
Ge3 0.0000 0.0000 0.0000

Properties
VASP energy   -63.623 eV for the cell shown
Space group   No. 139
Size of the total moment   0.00 Bohr magnetons per cell

=====

# 5
Computed, not measured: a geometry-optimized Ho2Ni12GeH3 structure at the PBE level of DFT.

Lattice parameters (Å, degrees): 6.8587 6.8587 6.8587 56.55 56.55 56.55
Fractional positions:
H1 0.5000 0.0000 0.0000
Ge1 0.0000 0.0000 0.0000
Ni1 0.7185 0.0954 0.7185
Ho1 0.5972 0.5972 0.5972
Ni2 0.9046 0.2815 0.2815
Ni3 0.1363 0.5556 0.1363
Ni4 0.8637 0.4444 0.8637
Ni5 0.4444 0.8637 0.8637
Ni6 0.0954 0.7185 0.7185
H2 0.0000 0.5000 0.0000
Ni7 0.1363 0.1363 0.5556
Ni8 0.7185 0.7185 0.0954
Ni9 0.2815 0.2815 0.9046
Ni10 0.5556 0.1363 0.1363
Ni11 0.2815 0.9046 0.2815
Ni12 0.8637 0.8637 0.4444
H3 0.0000 0.0000 0.5000
Ho2 0.4028 0.4028 0.4028

Properties
VASP energy   -95.508 eV for the cell shown
Space group   No. 166
Size of the total moment   0.00 Bohr magnetons per cell

=====

# 6
Computed, not measured: a geometry-optimized Pm2Ho4Ge3H2 structure at the PBE level of DFT.

Lattice parameters (Å, degrees): 4.5573 4.5573 12.2178 100.75 100.75 90.00
Fractional positions:
Ho1 0.5797 0.0797 0.1594
Ho2 0.0797 0.5797 0.1594
Ge1 0.0000 0.0000 0.0000
Ho3 0.9203 0.4203 0.8406
H1 0.5966 0.5966 0.1931
Pm1 0.2993 0.2993 0.5987
Pm2 0.7007 0.7007 0.4013
H2 0.4034 0.4034 0.8069
Ge2 0.1694 0.1694 0.3388
Ho4 0.4203 0.9203 0.8406
Ge3 0.8306 0.8306 0.6612

Properties
VASP energy   -55.152 eV for the cell shown
Space group   No. 139
Size of the total moment   0.00 Bohr magnetons per cell

=====

# 7
Computed, not measured: a geometry-optimized PmHoGeH structure at the PBE level of DFT.

Lattice parameters (Å, degrees): 4.3842 4.3842 8.4243 90.00 90.00 90.00
Fractional positions:
H1 0.5000 0.5000 0.0000
Ge1 0.5000 0.0000 0.7354
Ho1 0.5000 0.5000 0.5000
H2 0.0000 0.0000 0.0000
Ho2 0.0000 0.0000 0.5000
Pm1 0.5000 0.0000 0.1249
Pm2 0.0000 0.5000 0.8751
Ge2 0.0000 0.5000 0.2646

Properties
VASP energy   -39.543 eV for the cell shown
Space group   No. 129
Size of the total moment   0.00 Bohr magnetons per cell

=====

# 8
Computed, not measured: a geometry-optimized Ho2GeHPt6 structure at the PBE level of DFT.

Lattice parameters (Å, degrees): 5.6436 6.9278 5.6438 65.83 60.00 90.00
Fractional positions:
Pt1 0.2684 0.8053 0.9641
Pt2 0.2318 0.1937 0.5363
Ho1 0.7853 0.3542 0.4294
H1 0.0000 0.0000 0.0000
Pt3 0.7316 0.1947 0.0359
Ho2 0.2147 0.6458 0.5706
Pt4 0.2325 0.1948 0.0358
Pt5 0.7682 0.8063 0.4637
Ge1 0.5000 0.5000 0.0000
Pt6 0.7675 0.8052 0.9642

Properties
VASP energy   -61.632 eV for the cell shown
Space group   No. 12
Size of the total moment   0.00 Bohr magnetons per cell

=====

# 9
Computed, not measured: a geometry-optimized HoGeHRh structure at the PBE level of DFT.

Lattice parameters (Å, degrees): 4.0604 4.0604 7.2395 90.00 90.00 90.00
Fractional positions:
Ho1 0.0000 0.5000 0.8442
Ho2 0.5000 0.0000 0.1558
Rh1 0.5000 0.5000 0.5000
Ge1 0.5000 0.0000 0.6960
H1 0.5000 0.5000 0.0000
Ge2 0.0000 0.5000 0.3040
Rh2 0.0000 0.0000 0.5000
H2 0.0000 0.0000 0.0000

Properties
VASP energy   -46.520 eV for the cell shown
Space group   No. 129
Size of the total moment   0.00 Bohr magnetons per cell

=====

# 10
Computed, not measured: a geometry-optimized Ho4GeHS2 structure at the PBE level of DFT.

Lattice parameters (Å, degrees): 5.5275 5.5275 6.7906 114.20 114.20 89.58
Fractional positions:
Ho1 0.9701 0.4340 0.0000
S1 0.6914 0.1914 0.5000
S2 0.1914 0.6914 0.5000
Ho2 0.1895 0.1895 0.4976
H1 0.3961 0.3961 0.0000
Ho3 0.4340 0.9701 0.0000
Ho4 0.6919 0.6919 0.5024
Ge1 0.9330 0.9330 0.0000

Properties
VASP energy   -44.617 eV for the cell shown
Space group   No. 42
Size of the total moment   0.00 Bohr magnetons per cell

=====

# 11
Computed, not measured: a geometry-optimized GeH5I4 structure at the PBE level of DFT.

Lattice parameters (Å, degrees): 8.3814 7.0938 7.0938 69.57 53.79 53.79
Last column: magnetic moment on the atom in μB.
Fractional positions:
H1 0.2459 0.0000 0.0000  0.00
H2 0.1292 0.0703 0.6966  0.00
H3 0.1995 0.6966 0.9297  0.00
I1 0.4262 0.3931 0.8315  0.07
I2 0.8192 0.8315 0.6069  0.07
H4 0.8961 0.9297 0.3034  0.00
Ge1 0.0600 0.0000 0.0000  0.13
I3 0.2577 0.1685 0.3931  0.07
I4 0.6508 0.6069 0.1685  0.07
H5 0.8258 0.3034 0.0703  0.00

Properties
VASP energy   -25.027 eV for the cell shown
Space group   No. 79
Size of the total moment   0.66 Bohr magnetons per cell

=====

# 12
Computed, not measured: a geometry-optimized GeH3I structure at the PBE level of DFT.

Lattice parameters (Å, degrees): 4.8356 6.3442 7.4194 90.08 89.98 90.01
Fractional positions:
I1 0.3916 0.3630 0.7002
H1 0.3893 0.8463 0.5294
H2 0.8891 0.5066 0.3723
H3 0.8894 0.5065 0.0287
H4 0.4460 0.5883 0.2005
I2 0.8918 0.9898 0.2010
Ge1 0.2620 0.7537 0.7011
H5 0.9458 0.7645 0.7010
Ge2 0.7622 0.5992 0.2006
H6 0.3891 0.8460 0.8730

Properties
Space group   No. 4
Distance to the lowest polymorph of the same formula   2 meV/atom
Size of the total moment   0.00 Bohr magnetons per cell

=====

# 13
Computed, not measured: a geometry-optimized GeHI2 structure at the PBE level of DFT.

Lattice parameters (Å, degrees): 5.3276 5.3276 5.3276 60.00 60.00 60.00
Last column: magnetic moment on the atom in μB.
Fractional positions:
I1 0.2500 0.2500 0.2500  0.05
Ge1 0.5000 0.5000 0.5000  0.02
H1 0.0000 0.0000 0.0000  0.34
I2 0.7500 0.7500 0.7500  0.05

Properties
Space group   No. 225
Distance to the lowest polymorph of the same formula   410 meV/atom
Size of the total moment   1.00 Bohr magnetons per cell

=====

# 14
Computed, not measured: a geometry-optimized Ge2HI2 structure at the PBE level of DFT.

Lattice parameters (Å, degrees): 3.8799 3.8799 9.7780 78.56 78.56 90.00
Last column: magnetic moment on the atom in μB.
Fractional positions:
H1 0.0000 0.0000 0.0000  0.36
I1 0.6132 0.6132 0.7736  0.01
Ge1 0.2500 0.7500 0.5000  -0.01
I2 0.3868 0.3868 0.2264  0.01
Ge2 0.7500 0.2500 0.5000  -0.01

Properties
Space group   No. 139
Distance to the lowest polymorph of the same formula   0 meV/atom
Size of the total moment   0.88 Bohr magnetons per cell

=====

# 15
Computed, not measured: a geometry-optimized Ge3HI structure at the PBE level of DFT.

Lattice parameters (Å, degrees): 5.5795 5.5795 5.5795 90.00 90.00 90.00
Last column: magnetic moment on the atom in μB.
Fractional positions:
H1 0.5000 0.5000 0.5000  0.32
Ge1 0.0000 0.5000 0.0000  0.00
Ge2 0.0000 0.0000 0.5000  -0.04
Ge3 0.5000 0.0000 0.0000  0.03
I1 0.0000 0.0000 0.0000  -0.01

Properties
Space group   No. 221
Distance to the lowest polymorph of the same formula   907 meV/atom
Size of the total moment   0.69 Bohr magnetons per cell

=====

# 16
Computed, not measured: a geometry-optimized GeH3I structure at the PBE level of DFT.

Lattice parameters (Å, degrees): 4.1339 4.1339 4.1339 90.00 90.00 90.00
Fractional positions:
Ge1 0.5000 0.5000 0.5000
H1 0.0000 0.5000 0.0000
H2 0.5000 0.0000 0.0000
I1 0.0000 0.0000 0.0000
H3 0.0000 0.0000 0.5000

Properties
Space group   No. 221
Distance to the lowest polymorph of the same formula   1190 meV/atom
Size of the total moment   0.00 Bohr magnetons per cell

=====

# 17
Computed, not measured: a geometry-optimized Ge2HI structure at the PBE level of DFT.

Lattice parameters (Å, degrees): 4.9456 4.9456 4.9456 60.00 60.00 60.00
Fractional positions:
Ge1 0.7500 0.7500 0.7500
H1 0.0000 0.0000 0.0000
I1 0.5000 0.5000 0.5000
Ge2 0.2500 0.2500 0.2500

Properties
Space group   No. 225
Distance to the lowest polymorph of the same formula   411 meV/atom
Size of the total moment   0.00 Bohr magnetons per cell

=====

# 18
Computed, not measured: a geometry-optimized GeHI2 structure at the PBE level of DFT.

Lattice parameters (Å, degrees): 7.7092 7.7092 7.6813 59.88 59.88 90.00
Last column: magnetic moment on the atom in μB.
Fractional positions:
I1 0.3750 0.3457 0.7500  0.03
I2 0.8750 0.9043 0.7500  0.03
Ge1 0.7500 0.2500 0.5000  0.02
I3 0.0957 0.6250 0.2500  0.03
Ge2 0.0000 0.0000 0.0000  0.02
H1 0.5000 0.5000 0.0000  0.36
H2 0.2500 0.7500 0.5000  0.36
I4 0.6543 0.1250 0.2500  0.03

Properties
Space group   No. 122
Distance to the lowest polymorph of the same formula   309 meV/atom
Size of the total moment   2.00 Bohr magnetons per cell

=====

# 19
Computed, not measured: a geometry-optimized GeH3I structure at the PBE level of DFT.

Lattice parameters (Å, degrees): 4.7568 6.3088 7.3145 89.85 90.01 89.74
Fractional positions:
H1 0.1080 0.3162 0.9744
Ge1 0.7377 0.9460 0.2986
H2 0.5603 0.3911 0.7997
I1 0.6119 0.5531 0.2997
H3 0.6056 0.0367 0.1239
H4 0.1073 0.3162 0.6258
Ge2 0.2394 0.4067 0.7998
H5 0.6046 0.0371 0.4724
H6 0.0584 0.9609 0.2990
I2 0.1104 0.7999 0.7989

Properties
Space group   No. 1
Distance to the lowest polymorph of the same formula   0 meV/atom
Size of the total moment   0.00 Bohr magnetons per cell

=====

# 20
Computed, not measured: a geometry-optimized Ge2HI2 structure at the PBE level of DFT.

Lattice parameters (Å, degrees): 9.7421 9.7421 4.0687 90.00 90.00 90.00
Last column: magnetic moment on the atom in μB.
Fractional positions:
Ge1 0.4111 0.0889 0.5000  0.00
H1 0.5000 0.5000 0.0000  0.38
Ge2 0.9111 0.4111 0.5000  0.00
H2 0.0000 0.0000 0.0000  0.38
Ge3 0.5889 0.9111 0.5000  0.00
I1 0.1468 0.3532 0.0000  0.01
Ge4 0.0889 0.5889 0.5000  0.00
I2 0.8532 0.6468 0.0000  0.01
I3 0.6468 0.1468 0.0000  0.01
I4 0.3532 0.8532 0.0000  0.01

Properties
Space group   No. 127
Distance to the lowest polymorph of the same formula   31 meV/atom
Size of the total moment   2.00 Bohr magnetons per cell